DFT (PBE) results for crystalline Pm8CdAg2 at its relaxed geometry.

## Properties
Excess energy over the best structure of this formula in the dataset, meV/atom: 0
Electronic total energy, eV/cell: -45.988
ΔE_f, meV per atom: -124

Cell: 5.4526 8.6016 8.6445 Å, 118.92 108.38 90.00°
Last column: nearest neighbours and their distance in Å.
Positions (direct):
Pm  0.8586  0.8012  0.7172  3 Ag 3.16-3.34, 2 Cd 3.42
Pm  0.6833  0.9577  0.3667  1 Ag 3.14, 1 Cd 3.21, 4 Pm 3.34
Pm  0.9310  0.2760  0.8620  1 Ag 3.12, 3 Pm 3.33-3.34
Pm  0.0690  0.7240  0.1380  1 Ag 3.12, 3 Pm 3.33-3.34
Pm  0.1414  0.1988  0.2828  3 Ag 3.16-3.34, 2 Cd 3.42
Pm  0.4027  0.5427  0.8053  3 Ag 3.29, 1 Cd 3.41, 3 Pm 3.60-3.62
Pm  0.3167  0.0423  0.6333  1 Ag 3.14, 1 Cd 3.21, 4 Pm 3.34
Pm  0.5973  0.4573  0.1947  3 Ag 3.29, 1 Cd 3.41, 3 Pm 3.60-3.62
Cd  0.5000  0.0000  0.0000  8 Pm 3.21-3.42
Ag  0.2259  0.6210  0.4519  8 Pm 3.12-3.34
Ag  0.7741  0.3790  0.5481  8 Pm 3.12-3.34

***

DFT (PBE) results for crystalline Pu2S2O at its relaxed geometry.

## Properties
Excess energy over the best structure of this formula in the dataset, meV/atom: 203
Electronic total energy, eV/cell: -50.881

Cell: 3.8250 3.8250 9.3090 Å, 90.00 90.00 120.00°
Last column: nearest neighbours and their distance in Å.
Positions (direct):
Pu  0.6667  0.3333  0.1443  3 O 2.59, 3 S 2.64
Pu  0.3333  0.6667  0.8557  3 O 2.59, 3 S 2.64
S  0.6667  0.3333  0.7004  3 Pu 2.64
S  0.3333  0.6667  0.2996  3 Pu 2.64
O  0.0000  0.0000  0.0000  6 Pu 2.59

***

DFT (PBE) results for crystalline TaReTc at its relaxed geometry.

## Properties
Excess energy over the best structure of this formula in the dataset, meV/atom: 68
Electronic total energy, eV/cell: -34.677
ΔE_f, meV per atom: -4

Cell: 6.0993 6.0993 6.0993 Å, 152.45 152.45 39.35°
Last column: nearest neighbours and their distance in Å.
Positions (direct):
Re  0.0136  0.0136  0.0000  4 Tc 2.61, 4 Re 2.90, 4 Ta 2.92
Tc  0.6533  0.6533  0.0000  4 Re 2.61, 4 Tc 2.90, 4 Ta 2.91
Ta  0.3331  0.3331  0.0000  4 Ta 2.90, 4 Tc 2.91, 4 Re 2.92

***

Among the records above, which one has the highest excess energy over the best structure of this formula in the dataset? Pu2S2O

***

What did the third record say?
DFT (PBE) results for crystalline TaReTc at its relaxed geometry.

## Properties
Excess energy over the best structure of this formula in the dataset, meV/atom: 68
Electronic total energy, eV/cell: -34.677
ΔE_f, meV per atom: -4

Cell: 6.0993 6.0993 6.0993 Å, 152.45 152.45 39.35°
Last column: nearest neighbours and their distance in Å.
Positions (direct):
Re  0.0136  0.0136  0.0000  4 Tc 2.61, 4 Re 2.90, 4 Ta 2.92
Tc  0.6533  0.6533  0.0000  4 Re 2.61, 4 Tc 2.90, 4 Ta 2.91
Ta  0.3331  0.3331  0.0000  4 Ta 2.90, 4 Tc 2.91, 4 Re 2.92

***

Which value of electronic total energy does entry 3 give? -34.677 eV/cell